Entry 1:
Compound: LiLaMg3
Source: the Alexandria database
Functional: PBEsol
Structure: relaxed

Output
Its density of states at the Fermi level is 6.72 states/eV/cell. The calculation puts the formation energy at 4.99 eV/f.u. Its total energy is -1.50 eV/atom.

Geometry as CIF:
```
data_LiLaMg3
_chemical_formula_sum 'Li1 La1 Mg3'
_cell_length_a 6.0288
_cell_length_b 6.0288
_cell_length_c 6.0288
_cell_angle_alpha 90.00
_cell_angle_beta 90.00
_cell_angle_gamma 90.00
_space_group_name_H-M_alt 'P m -3 m'
_space_group_IT_number 221
_space_group_name_Hall '-P 4 2 3'
loop_
_atom_site_label
_atom_site_fract_x
_atom_site_fract_y
_atom_site_fract_z
Li1 0.0000 0.0000 0.0000
La1 0.5000 0.5000 0.5000
Mg1 0.0000 0.5000 0.5000
```

=====

Entry 2:
Compound: Ba7Nb4MoO20
Source: the Alexandria database
Functional: PBEsol
Structure: relaxed

Output
Its density of states at the Fermi level is 0.00 states/eV/cell. Its total energy is -8.26 eV/atom.

Geometry as CIF:
```
data_Ba7Nb4MoO20
_chemical_formula_sum 'Ba7 Nb4 Mo1 O20'
_cell_length_a 5.8734
_cell_length_b 5.8734
_cell_length_c 16.5775
_cell_angle_alpha 90.00
_cell_angle_beta 90.00
_cell_angle_gamma 120.00
_space_group_name_H-M_alt 'P 3 m 1'
_space_group_IT_number 156
_space_group_name_Hall 'P 3 -2"'
loop_
_atom_site_label
_atom_site_fract_x
_atom_site_fract_y
_atom_site_fract_z
Ba1 0.0000 0.0000 0.0000
Ba2 0.0000 0.0000 0.2498
Ba3 0.3333 0.6667 0.0986
Ba4 0.3333 0.6667 0.5360
Ba5 0.3333 0.6667 0.8307
Ba6 0.6667 0.3333 0.3979
Ba7 0.6667 0.3333 0.6478
Nb1 0.0000 0.0000 0.4749
Nb2 0.3333 0.6667 0.3222
Nb3 0.6667 0.3333 0.1728
Nb4 0.6667 0.3333 0.9207
Mo1 0.0000 0.0000 0.7282
O1 0.0000 0.0000 0.8348
O2 0.0045 0.5022 0.2563
O3 0.0125 0.5062 0.9570
O4 0.1646 0.3292 0.6940
O5 0.1701 0.3401 0.3941
O6 0.3251 0.1626 0.5306
O7 0.3400 0.1700 0.1193
O8 0.6667 0.3333 0.8078
```

=====

Entry 3:
Compound: CdAg2Au
Source: the Alexandria database
Functional: PBEsol
Structure: relaxed

Output
Its density of states at the Fermi level is 2.06 states/eV/cell. The calculation puts the formation energy at -0.45 eV/f.u. Its total energy is -3.05 eV/atom.

Geometry as CIF:
```
data_CdAg2Au
_chemical_formula_sum 'Cd2 Ag4 Au2'
_cell_length_a 5.8130
_cell_length_b 5.8118
_cell_length_c 5.0070
_cell_angle_alpha 90.00
_cell_angle_beta 125.27
_cell_angle_gamma 90.00
_space_group_name_H-M_alt 'C 1 2/m 1'
_space_group_IT_number 12
_space_group_name_Hall '-C 2y'
loop_
_atom_site_label
_atom_site_fract_x
_atom_site_fract_y
_atom_site_fract_z
Cd1 0.0000 0.0000 0.0000
Ag1 0.0000 0.2499 0.5000
Au1 0.0000 0.5000 0.0000
```

=====

Entry 4:
Compound: ScCdTc
Source: the Alexandria database
Functional: PBEsol
Structure: relaxed

Output
Its density of states at the Fermi level is 16.10 states/eV/cell. The calculation puts the formation energy at 2.30 eV/f.u. Its total energy is -5.59 eV/atom.

Geometry as CIF:
```
data_ScCdTc
_chemical_formula_sum 'Sc4 Cd4 Tc4'
_cell_length_a 6.2958
_cell_length_b 6.2958
_cell_length_c 6.2958
_cell_angle_alpha 90.00
_cell_angle_beta 90.00
_cell_angle_gamma 90.00
_space_group_name_H-M_alt 'F -4 3 m'
_space_group_IT_number 216
_space_group_name_Hall 'F -4 2 3'
loop_
_atom_site_label
_atom_site_fract_x
_atom_site_fract_y
_atom_site_fract_z
Sc1 0.0000 0.0000 0.0000
Cd1 0.2500 0.2500 0.7500
Tc1 0.0000 0.0000 0.5000
```

=====

Copy entry 1 word for word.
Compound: LiLaMg3
Source: the Alexandria database
Functional: PBEsol
Structure: relaxed

Output
Its density of states at the Fermi level is 6.72 states/eV/cell. The calculation puts the formation energy at 4.99 eV/f.u. Its total energy is -1.50 eV/atom.

Geometry as CIF:
```
data_LiLaMg3
_chemical_formula_sum 'Li1 La1 Mg3'
_cell_length_a 6.0288
_cell_length_b 6.0288
_cell_length_c 6.0288
_cell_angle_alpha 90.00
_cell_angle_beta 90.00
_cell_angle_gamma 90.00
_space_group_name_H-M_alt 'P m -3 m'
_space_group_IT_number 221
_space_group_name_Hall '-P 4 2 3'
loop_
_atom_site_label
_atom_site_fract_x
_atom_site_fract_y
_atom_site_fract_z
Li1 0.0000 0.0000 0.0000
La1 0.5000 0.5000 0.5000
Mg1 0.0000 0.5000 0.5000
```